w | Zr2HgGe2: optimized geometry, PBE.

Values from the calculation:
N(E_F), states/eV/atom: 1.117
Total magnetization, μB per formula unit: 0.000

a b c (Å): 3.648 3.648 15.724
angles (deg): 90.00 90.00 90.00
Space group I4/mmm (No. 139)
Symmetry-distinct sites (fractional):
1 Zr 0.000 0.000 0.110 [4 per cell]
2 Hg 0.000 0.000 0.500 [2 per cell]
3 Ge 0.000 0.500 0.250 [4 per cell]

---

x | Zr2HgGe2: optimized geometry, PBE.

Values from the calculation:
N(E_F), states/eV/atom: 0.587
Total magnetization, μB per formula unit: 0.000

a b c (Å): 7.744 7.744 3.510
angles (deg): 90.00 90.00 90.00
Space group P4/mbm (No. 127)
Symmetry-distinct sites (fractional):
1 Zr 0.144 0.356 0.000 [4 per cell]
2 Hg 0.000 0.000 0.000 [2 per cell]
3 Ge 0.156 0.656 0.500 [4 per cell]

---

y | Zr2HgGe2: optimized geometry, PBE.

Values from the calculation:
N(E_F), states/eV/atom: 0.510
Total magnetization, μB per formula unit: 0.000

a b c (Å): 7.276 7.276 3.750
angles (deg): 90.00 90.00 90.00
Space group P4/mbm (No. 127)
Symmetry-distinct sites (fractional):
1 Zr 0.163 0.337 0.000 [4 per cell]
2 Hg 0.000 0.000 0.500 [2 per cell]
3 Ge 0.135 0.635 0.500 [4 per cell]

---

Of them, the most stable is y and the least stable is w.

---

w | ZrHg2Ge2: optimized geometry, PBE.

Values from the calculation:
N(E_F), states/eV/atom: 0.349
Total magnetization, μB per formula unit: 0.000

a b c (Å): 3.843 3.843 16.798
angles (deg): 90.00 90.00 90.00
Space group I4/mmm (No. 139)
Symmetry-distinct sites (fractional):
1 Zr 0.000 0.000 0.000 [2 per cell]
2 Hg 0.000 0.500 0.250 [4 per cell]
3 Ge 0.000 0.000 0.425 [4 per cell]

---

x | ZrHg2Ge2: optimized geometry, PBE.

Values from the calculation:
N(E_F), states/eV/atom: 0.668
Total magnetization, μB per formula unit: 0.000

a b c (Å): 7.223 7.223 4.093
angles (deg): 90.00 90.00 90.00
Space group P4/mbm (No. 127)
Symmetry-distinct sites (fractional):
1 Zr 0.000 0.000 0.000 [2 per cell]
2 Hg 0.177 0.323 0.500 [4 per cell]
3 Ge 0.129 0.629 0.000 [4 per cell]

---

Of them, the most stable is x and the least stable is w.

---

w | Ho5Ge3: optimized geometry, PBE.

Values from the calculation:
N(E_F), states/eV/atom: 0.512
Total magnetization, μB per formula unit: 0.000

a b c (Å): 8.4647 8.4647 6.3761
angles (deg): 90.00 90.00 120.00
Space group P6_3/mcm (No. 193)
Symmetry-distinct sites (fractional):
1 Ho 0.0000 0.2414 0.2500 [6 per cell]
2 Ho 0.3333 0.6667 0.0000 [4 per cell]
3 Ge 0.0000 0.3940 0.7500 [6 per cell]

---

x | Ho5Ge3: optimized geometry, PBE.

Values from the calculation:
N(E_F), states/eV/atom: 0.891
Total magnetization, μB per formula unit: 0.001

a b c (Å): 7.710 7.710 13.264
angles (deg): 90.00 90.00 90.00
Space group I4/mcm (No. 140)
Symmetry-distinct sites (fractional):
1 Ho 0.000 0.000 0.000 [4 per cell]
2 Ho 0.161 0.339 0.146 [16 per cell]
3 Ge 0.000 0.000 0.250 [4 per cell]
4 Ge 0.141 0.359 0.500 [8 per cell]

---

Of them, the most stable is w and the least stable is x.

---

w | Ho2Ge3: optimized geometry, PBE.

Values from the calculation:
N(E_F), states/eV/atom: 0.313
Total magnetization, μB per formula unit: 0.000

a b c (Å): 4.067 6.395 8.328
angles (deg): 90.00 90.00 90.00
Space group Immm (No. 71)
Symmetry-distinct sites (fractional):
1 Ho 0.000 0.000 0.225 [4 per cell]
2 Ge 0.000 0.300 0.500 [4 per cell]
3 Ge 0.000 0.500 0.000 [2 per cell]

---

x | Ho2Ge3: optimized geometry, PBE.

Values from the calculation:
N(E_F), states/eV/atom: 0.362
Total magnetization, μB per formula unit: 0.000

a b c (Å): 7.000 4.392 7.623
angles (deg): 90.00 90.00 90.00
Space group Amm2 (No. 38)
Symmetry-distinct sites (fractional):
1 Ho 0.232 0.000 0.000 [4 per cell]
2 Ge 0.000 0.000 0.333 [2 per cell]
3 Ge 0.500 0.000 0.333 [2 per cell]
4 Ge 0.500 0.000 0.666 [2 per cell]

---

y | Ho2Ge3: optimized geometry, PBE.

Values from the calculation:
N(E_F), states/eV/atom: 0.502
Total magnetization, μB per formula unit: 0.000

a b c (Å): 7.262 7.262 4.144
angles (deg): 90.00 90.00 90.00
Space group P4/mbm (No. 127)
Symmetry-distinct sites (fractional):
1 Ho 0.179 0.321 0.000 [4 per cell]
2 Ge 0.000 0.000 0.500 [2 per cell]
3 Ge 0.123 0.623 0.500 [4 per cell]

---

Of them, the most stable is w and the least stable is x.

---

w | HoInGe2: optimized geometry, PBE.

Values from the calculation:
N(E_F), states/eV/atom: 0.763
Total magnetization, μB per formula unit: 0.000

a b c (Å): 4.6615 4.6615 21.9090
angles (deg): 90.00 90.00 120.00
Space group R-3m (No. 166, hexagonal axes)
Symmetry-distinct sites (fractional):
1 Ho 0.0000 0.0000 0.0000 [3 per cell]
2 In 0.0000 0.0000 0.5000 [3 per cell]
3 Ge 0.0000 0.0000 0.3804 [6 per cell]

---

x | HoInGe2: optimized geometry, PBE.

Values from the calculation:
N(E_F), states/eV/atom: 0.584
Total magnetization, μB per formula unit: 0.000

a b c (Å): 4.600 4.600 4.083
angles (deg): 90.00 90.00 90.00
Space group P4/mmm (No. 123)
Symmetry-distinct sites (fractional):
1 Ho 0.000 0.000 0.000 [1 per cell]
2 In 0.500 0.500 0.000 [1 per cell]
3 Ge 0.000 0.500 0.500 [2 per cell]

---

Of them, the most stable is x and the least stable is w.

---

w | HoGe3Ir3: optimized geometry, PBE.

Values from the calculation:
N(E_F), states/eV/atom: 0.832
Total magnetization, μB per formula unit: 0.000

a b c (Å): 6.741 6.741 6.741
angles (deg): 90.00 90.00 90.00
Space group Pm-3n (No. 223)
Symmetry-distinct sites (fractional):
1 Ho 0.000 0.000 0.000 [2 per cell]
2 Ge 0.000 0.250 0.500 [6 per cell]
3 Ir 0.000 0.500 0.250 [6 per cell]

---

x | HoGe3Ir3: optimized geometry, PBE.

Values from the calculation:
N(E_F), states/eV/atom: 0.329
Total magnetization, μB per formula unit: 0.000

a b c (Å): 6.8789 6.8789 20.4991
angles (deg): 90.00 90.00 120.00
Space group R-3 (No. 148, hexagonal axes)
Symmetry-distinct sites (fractional):
1 Ho 0.0000 0.0000 0.1721 [6 per cell]
2 Ge 0.0300 0.6067 0.0635 [18 per cell]
3 Ir 0.0128 0.7614 0.9432 [18 per cell]

---

Of them, the most stable is x and the least stable is w.